Density functional theory data (PBE) for a relaxed structure of Li2CaMn.

Properties
ΔE to the lowest computed polymorph   4.8 kJ per mole of atoms
Uncorrected energy   -3.402 eV/atom
ρ   2.00 g cm⁻³
Energy relative to the elements   0.347 eV per atom

Lattice parameters (Å, degrees): 5.028 5.028 5.028 119.73 119.73 90.46
Sites, in units of the cell vectors:
Ca  0.750  0.250  0.500
Li  0.000  0.000  0.000
Li  0.250  0.750  0.500
Mn  0.500  0.500  0.000